DFT (PBE) results for CaAc3Tb after structural relaxation.

Geometry as POSCAR:
```
CaAc3Tb
1.0
3.889 0.000 0.000
1.941 10.142 0.000
0.001 2.981 10.577
Ca Ac Tb
2 6 2
direct
0.097 0.306 0.049
0.903 0.694 0.951
0.301 0.897 0.645
0.304 0.894 0.158
0.499 0.501 0.272
0.501 0.499 0.728
0.696 0.106 0.842
0.699 0.103 0.355
0.101 0.298 0.551
0.899 0.702 0.449
```

Properties
DOS(E_F) = 16.759 states/eV per cell
size of the total moment = 0.00 μB per formula unit
SG = P-1 (2)
energy of formation = 0.045 eV/atom
final energy = -18.73 eV per formula unit
energy above the most stable polymorph in this dataset = 0 meV per atom

=====

DFT (PBE) results for Ca2Ac2Tb after structural relaxation.

Geometry as POSCAR:
```
Ca2Ac2Tb
1.0
4.821 0.000 0.000
0.000 4.821 0.000
0.000 0.000 61.638
Ca Ac Tb
4 4 2
direct
0.000 0.000 0.201
0.000 0.000 0.799
0.500 0.500 0.299
0.500 0.500 0.701
0.000 0.500 0.250
0.000 0.500 0.750
0.500 0.000 0.250
0.500 0.000 0.750
0.000 0.000 0.500
0.500 0.500 0.000
```

Properties
DOS(E_F) = 15.393 states/eV per cell
size of the total moment = 1.06 μB per formula unit
SG = I4/mmm (139)
energy of formation = 1.285 eV/atom
final energy = -10.42 eV per formula unit

=====

DFT (PBE) results for Ca2AcTb after structural relaxation.

Geometry as POSCAR:
```
Ca2AcTb
1.0
3.705 0.000 0.000
-1.853 3.209 0.000
0.000 0.000 40.560
Ca Ac Tb
6 3 3
direct
0.000 0.000 0.085
0.000 0.000 0.915
0.333 0.667 0.581
0.333 0.667 0.752
0.667 0.333 0.248
0.667 0.333 0.419
0.000 0.000 0.500
0.333 0.667 0.167
0.667 0.333 0.833
0.000 0.000 0.000
0.333 0.667 0.667
0.667 0.333 0.333
```

Properties
DOS(E_F) = 19.215 states/eV per cell
size of the total moment = 0.68 μB per formula unit
SG = R-3m (166)
energy of formation = 0.251 eV/atom
final energy = -11.74 eV per formula unit
energy above the most stable polymorph in this dataset = 205 meV per atom

=====

DFT (PBE) results for Ca3AcTb2Te6 after structural relaxation.

Geometry as POSCAR:
```
Ca3AcTb2Te6
1.0
3.877 -6.710 0.000
3.877 6.710 0.000
-2.600 0.000 7.434
Ca Ac Tb Te
3 1 2 6
direct
0.000 0.000 0.000
0.339 0.661 0.000
0.661 0.339 0.000
0.500 0.500 0.500
0.168 0.832 0.500
0.832 0.168 0.500
0.066 0.415 0.245
0.235 0.235 0.750
0.415 0.066 0.245
0.585 0.934 0.755
0.765 0.765 0.250
0.934 0.585 0.755
```

Properties
DOS(E_F) = 5.061 states/eV per cell
formation energy without anion corrections = -142.8 kJ per mole of atoms
size of the total moment = 0.00 μB per formula unit
SG = C2/m (12)
final energy = -55.99 eV per formula unit

=====

DFT (PBE) results for Ca2AcTbTe4 after structural relaxation.

Geometry as POSCAR:
```
Ca2AcTbTe4
1.0
7.817 0.000 0.000
0.000 4.501 0.000
-2.595 0.000 7.500
Ca Ac Tb Te
2 1 1 4
direct
0.000 0.000 0.000
0.500 0.500 0.000
0.000 0.500 0.500
0.500 0.000 0.500
0.261 0.500 0.248
0.267 0.000 0.761
0.733 0.000 0.239
0.739 0.500 0.752
```

Properties
DOS(E_F) = 3.836 states/eV per cell
formation energy without anion corrections = -143.5 kJ per mole of atoms
size of the total moment = 0.00 μB per formula unit
SG = P2/m (10)
final energy = -37.21 eV per formula unit

=====

DFT (PBE) results for CaAc2TbTe4 after structural relaxation.

Geometry as POSCAR:
```
CaAc2TbTe4
1.0
7.885 0.000 0.000
0.000 4.531 0.000
-2.592 0.000 7.622
Ca Ac Tb Te
1 2 1 4
direct
0.000 0.000 0.000
0.000 0.500 0.500
0.500 0.000 0.500
0.500 0.500 0.000
0.244 0.500 0.227
0.259 0.000 0.774
0.741 0.000 0.226
0.756 0.500 0.773
```

Properties
DOS(E_F) = 4.153 states/eV per cell
formation energy without anion corrections = -141.5 kJ per mole of atoms
size of the total moment = 0.00 μB per formula unit
SG = P2/m (10)
final energy = -39.14 eV per formula unit

=====

DFT (PBE) results for CaAcTb2Te4 after structural relaxation.

Geometry as POSCAR:
```
CaAcTb2Te4
1.0
7.815 0.000 0.000
0.000 4.461 0.000
-2.537 0.000 7.397
Ca Ac Tb Te
1 1 2 4
direct
0.000 0.000 0.000
0.500 0.500 0.000
0.000 0.500 0.500
0.500 0.000 0.500
0.235 0.000 0.733
0.245 0.500 0.261
0.755 0.500 0.739
0.765 0.000 0.267
```

Properties
DOS(E_F) = 3.720 states/eV per cell
formation energy without anion corrections = -136.8 kJ per mole of atoms
size of the total moment = 0.00 μB per formula unit
SG = P2/m (10)
final energy = -39.28 eV per formula unit

=====

DFT (PBE) results for Ca2AcTbTl4 after structural relaxation.

Geometry as POSCAR:
```
Ca2AcTbTl4
1.0
2.775 1.602 9.205
-2.775 1.602 9.205
0.000 -3.204 9.205
Ca Ac Tb Tl
2 1 1 4
direct
0.248 0.248 0.248
0.752 0.752 0.752
0.000 0.000 0.000
0.500 0.500 0.500
0.128 0.128 0.128
0.381 0.381 0.381
0.619 0.619 0.619
0.872 0.872 0.872
```

Properties
DOS(E_F) = 6.822 states/eV per cell
size of the total moment = 0.00 μB per formula unit
SG = R-3m (166)
energy of formation = -0.381 eV/atom
final energy = -25.25 eV per formula unit

=====

- Among the records above, which one has the highest final energy?
  Ca2Ac2Tb